Below is a relaxed structure of MgPtSe, with properties calculated at the GGA-PBEsol level.

Lattice parameters (Å, degrees): 4.7826 4.7826 4.7826 136.13 136.13 63.78
Atoms (fractional coordinates):
Mg: 0.0000 0.0000 0.0000
Pt: 0.3520 0.3520 0.0000
Se: 0.6601 0.6601 0.0000

* DOS at the Fermi energy: 0.9 states/eV/cell
* final energy: -4.5713 eV/atom
* M_tot: 0.00 μB per formula unit
* calculated density: 9.6 g/cm3

=====

Below is a relaxed structure of MgTePtSe2, with properties calculated at the GGA-PBEsol level.

Lattice parameters (Å, degrees): 4.8601 4.8601 4.8543 90.00 90.00 90.00
Atoms (fractional coordinates):
Mg: 0.0000 0.0000 0.0000
Te: 0.5000 0.5000 0.5000
Pt: 0.0000 0.0000 0.5000
Se: 0.0000 0.5000 0.0000
Se: 0.5000 0.0000 0.0000

* DOS at the Fermi energy: 3.5 states/eV/cell
* final energy: -3.4380 eV/atom
* M_tot: 0.00 μB per formula unit
* calculated density: 7.3 g/cm3